Ac2PmCd2 | PBE | relaxed

a = 11.2543 Å, b = 11.2543 Å, c = 3.9183 Å
α = 90.00°, β = 90.00°, γ = 159.59°
Element x y z (fractional)
Ac  0.1745  0.8255  0.0000
Ac  0.8255  0.1745  0.0000
Pm  0.0000  0.0000  0.0000
Cd  0.4214  0.5786  0.5000
Cd  0.5786  0.4214  0.5000

The energy above the most stable polymorph in this dataset comes out at 0 meV per atom. As for the formation energy from the elements: -79.2 kJ/mol of formula units. As for the total magnetic moment: 0.52 μB per formula unit.

***

AcPmCd | PBE | relaxed

a = 5.4523 Å, b = 5.4523 Å, c = 5.4523 Å
α = 60.00°, β = 60.00°, γ = 60.00°
Element x y z (fractional)
Ac  0.0000  0.0000  0.0000
Pm  0.5000  0.5000  0.5000
Cd  0.7500  0.7500  0.7500

The energy above the most stable polymorph in this dataset comes out at 259 meV per atom. As for the formation energy from the elements: 22.4 kJ/mol of formula units. As for the total magnetic moment: 0.00 μB per formula unit.

***

Ac2Pm2Cd3 | PBE | relaxed

a = 5.6261 Å, b = 5.6261 Å, c = 9.2911 Å
α = 107.76°, β = 107.76°, γ = 60.04°
Element x y z (fractional)
Ac  0.1151  0.1151  0.3474
Ac  0.8849  0.8849  0.6526
Pm  0.3704  0.3704  0.1144
Pm  0.6296  0.6296  0.8856
Cd  0.2514  0.2514  0.7517
Cd  0.5000  0.5000  0.5000
Cd  0.7486  0.7486  0.2483

As for the formation energy from the elements: -100.5 kJ/mol of formula units. As for the total magnetic moment: 0.69 μB per formula unit.

***

AcPm5Cd4 | PBE | relaxed

a = 3.8367 Å, b = 3.8367 Å, c = 20.5606 Å
α = 90.00°, β = 90.00°, γ = 90.00°
Element x y z (fractional)
Ac  0.0000  0.0000  0.0000
Pm  0.5000  0.5000  0.1288
Pm  0.5000  0.5000  0.3148
Pm  0.5000  0.5000  0.5000
Pm  0.5000  0.5000  0.6852
Pm  0.5000  0.5000  0.8712
Cd  0.0000  0.0000  0.2205
Cd  0.0000  0.0000  0.4069
Cd  0.0000  0.0000  0.5931
Cd  0.0000  0.0000  0.7795

As for the formation energy from the elements: -239.9 kJ/mol of formula units. As for the total magnetic moment: 1.26 μB per formula unit.

***

Ac3PmCd8 | PBE | relaxed

a = 10.6623 Å, b = 10.6623 Å, c = 10.6623 Å
α = 33.67°, β = 33.67°, γ = 33.67°
Element x y z (fractional)
Ac  0.0000  0.0000  0.0000
Ac  0.1254  0.1254  0.1254
Ac  0.5018  0.5018  0.5018
Pm  0.6258  0.6258  0.6258
Cd  0.0591  0.5631  0.5631
Cd  0.0644  0.0644  0.5649
Cd  0.0644  0.5649  0.0644
Cd  0.3128  0.3128  0.3128
Cd  0.5631  0.0591  0.5631
Cd  0.5631  0.5631  0.0591
Cd  0.5649  0.0644  0.0644
Cd  0.8132  0.8132  0.8132

As for the formation energy from the elements: -344.2 kJ/mol of formula units. As for the total magnetic moment: 0.00 μB per formula unit.

***

AcPmCd | PBE | relaxed

a = 5.5127 Å, b = 5.5127 Å, c = 3.8706 Å
α = 90.00°, β = 90.00°, γ = 120.00°
Element x y z (fractional)
Ac  0.0000  0.0000  0.0000
Pm  0.3333  0.6667  0.4505
Cd  0.6667  0.3333  0.5912

The energy above the most stable polymorph in this dataset comes out at 116 meV per atom. As for the formation energy from the elements: -19.0 kJ/mol of formula units. As for the total magnetic moment: 0.00 μB per formula unit.

***

AcPm5Cd6 | PBE | relaxed

a = 8.6534 Å, b = 8.6534 Å, c = 7.7805 Å
α = 90.00°, β = 90.00°, γ = 143.22°
Element x y z (fractional)
Ac  0.0000  0.0000  0.0000
Pm  0.0000  0.0000  0.5000
Pm  0.3322  0.6678  0.0000
Pm  0.3353  0.6647  0.5000
Pm  0.6647  0.3353  0.5000
Pm  0.6678  0.3322  0.0000
Cd  0.1718  0.8282  0.2581
Cd  0.1718  0.8282  0.7419
Cd  0.5000  0.5000  0.2623
Cd  0.5000  0.5000  0.7377
Cd  0.8282  0.1718  0.2581
Cd  0.8282  0.1718  0.7419

As for the formation energy from the elements: -352.2 kJ/mol of formula units. As for the total magnetic moment: 2.03 μB per formula unit.

***

AcPm2Cd4 | PBE | relaxed

a = 8.7413 Å, b = 8.7413 Å, c = 8.7413 Å
α = 144.08°, β = 144.08°, γ = 51.70°
Element x y z (fractional)
Ac  0.0000  0.0000  0.0000
Pm  0.2541  0.2541  0.0000
Pm  0.7459  0.7459  0.0000
Cd  0.1299  0.6299  0.5000
Cd  0.3701  0.8701  0.5000
Cd  0.6299  0.1299  0.5000
Cd  0.8701  0.3701  0.5000

As for the formation energy from the elements: -91.2 kJ/mol of formula units. As for the total magnetic moment: 0.44 μB per formula unit.

***

AcPm2Cd | PBE | relaxed

a = 5.8208 Å, b = 5.8208 Å, c = 3.8628 Å
α = 90.00°, β = 90.00°, γ = 90.00°
Element x y z (fractional)
Ac  0.0000  0.0000  0.0000
Pm  0.0000  0.5000  0.5000
Pm  0.5000  0.0000  0.5000
Cd  0.5000  0.5000  0.0000

The energy above the most stable polymorph in this dataset comes out at 125 meV per atom. As for the formation energy from the elements: -7.2 kJ/mol of formula units. As for the total magnetic moment: 0.00 μB per formula unit.

***

AcPm2Cd | PBE | relaxed

a = 5.7083 Å, b = 5.7083 Å, c = 5.7083 Å
α = 60.00°, β = 60.00°, γ = 60.00°
Element x y z (fractional)
Ac  0.0000  0.0000  0.0000
Pm  0.2500  0.2500  0.2500
Pm  0.7500  0.7500  0.7500
Cd  0.5000  0.5000  0.5000

The energy above the most stable polymorph in this dataset comes out at 174 meV per atom. As for the formation energy from the elements: 11.7 kJ/mol of formula units. As for the total magnetic moment: 0.00 μB per formula unit.

***

Ac3PmCd4 | PBE | relaxed

a = 4.0120 Å, b = 4.0120 Å, c = 16.0936 Å
α = 90.00°, β = 90.00°, γ = 90.00°
Element x y z (fractional)
Ac  0.0000  0.0000  0.0000
Ac  0.0000  0.0000  0.2591
Ac  0.0000  0.0000  0.7409
Pm  0.0000  0.0000  0.5000
Cd  0.5000  0.5000  0.1287
Cd  0.5000  0.5000  0.3924
Cd  0.5000  0.5000  0.6076
Cd  0.5000  0.5000  0.8713

As for the formation energy from the elements: -226.3 kJ/mol of formula units. As for the total magnetic moment: 0.04 μB per formula unit.

***

AcPm2Cd | PBE | relaxed

a = 3.8453 Å, b = 3.8453 Å, c = 9.0131 Å
α = 90.00°, β = 90.00°, γ = 90.00°
Element x y z (fractional)
Ac  0.0000  0.0000  0.0000
Pm  0.5000  0.5000  0.2888
Pm  0.5000  0.5000  0.7112
Cd  0.0000  0.0000  0.5000

The energy above the most stable polymorph in this dataset comes out at 0 meV per atom. As for the formation energy from the elements: -55.3 kJ/mol of formula units. As for the total magnetic moment: 0.00 μB per formula unit.

***

Ac3Pm4Cd | PBE | relaxed

a = 3.8378 Å, b = 3.8378 Å, c = 19.6811 Å
α = 90.00°, β = 90.00°, γ = 90.00°
Element x y z (fractional)
Ac  0.0000  0.0000  0.0000
Ac  0.0000  0.0000  0.2689
Ac  0.0000  0.0000  0.7311
Pm  0.5000  0.5000  0.1341
Pm  0.5000  0.5000  0.4014
Pm  0.5000  0.5000  0.5986
Pm  0.5000  0.5000  0.8659
Cd  0.0000  0.0000  0.5000

As for the formation energy from the elements: -42.9 kJ/mol of formula units. As for the total magnetic moment: 0.00 μB per formula unit.

***

AcPmCdPt | PBE | relaxed

a = 5.3901 Å, b = 5.3901 Å, c = 5.3901 Å
α = 60.00°, β = 60.00°, γ = 60.00°
Element x y z (fractional)
Ac  0.0000  0.0000  0.0000
Pm  0.5000  0.5000  0.5000
Cd  0.2500  0.2500  0.2500
Pt  0.7500  0.7500  0.7500

As for the formation energy from the elements: -225.3 kJ/mol of formula units. As for the total magnetic moment: 0.00 μB per formula unit.

***

AcPmCdRu | PBE | relaxed

a = 5.3205 Å, b = 5.3205 Å, c = 5.3205 Å
α = 60.00°, β = 60.00°, γ = 60.00°
Element x y z (fractional)
Ac  0.0000  0.0000  0.0000
Pm  0.5000  0.5000  0.5000
Cd  0.7500  0.7500  0.7500
Ru  0.2500  0.2500  0.2500

As for the formation energy from the elements: -35.3 kJ/mol of formula units. As for the total magnetic moment: 0.00 μB per formula unit.

***

AcPmCdSi | PBE | relaxed

a = 5.4216 Å, b = 5.4216 Å, c = 5.4216 Å
α = 60.00°, β = 60.00°, γ = 60.00°
Element x y z (fractional)
Ac  0.0000  0.0000  0.0000
Pm  0.5000  0.5000  0.5000
Cd  0.2500  0.2500  0.2500
Si  0.7500  0.7500  0.7500

The value obtained for the formation energy from raw total energies is -0.31 eV per atom. As for the total magnetic moment: 0.00 μB per formula unit.

***

AcPm2Cd2Sn2 | PBE | relaxed

a = 9.8197 Å, b = 9.8197 Å, c = 9.8197 Å
α = 29.96°, β = 29.96°, γ = 29.96°
Element x y z (fractional)
Ac  0.0000  0.0000  0.0000
Pm  0.1337  0.1337  0.1337
Pm  0.8663  0.8663  0.8663
Cd  0.4265  0.4265  0.4265
Cd  0.5735  0.5735  0.5735
Sn  0.2626  0.2626  0.2626
Sn  0.7374  0.7374  0.7374

As for the formation energy from the elements: -244.0 kJ/mol of formula units. As for the total magnetic moment: 0.00 μB per formula unit.

***

AcTbPmCd | PBE | relaxed

a = 3.8132 Å, b = 3.8132 Å, c = 8.9960 Å
α = 90.00°, β = 90.00°, γ = 90.00°
Element x y z (fractional)
Ac  0.0000  0.0000  0.0000
Tb  0.5000  0.5000  0.2876
Pm  0.5000  0.5000  0.7057
Cd  0.0000  0.0000  0.4883

The energy above the most stable polymorph in this dataset comes out at 0 meV per atom. As for the formation energy from the elements: -51.2 kJ/mol of formula units. As for the total magnetic moment: 0.00 μB per formula unit.

***

AcTbPmCd | PBE | relaxed

a = 5.6718 Å, b = 5.6718 Å, c = 5.6718 Å
α = 60.00°, β = 60.00°, γ = 60.00°
Element x y z (fractional)
Ac  0.0000  0.0000  0.0000
Tb  0.2500  0.2500  0.2500
Pm  0.7500  0.7500  0.7500
Cd  0.5000  0.5000  0.5000

The energy above the most stable polymorph in this dataset comes out at 186 meV per atom. As for the formation energy from the elements: 20.6 kJ/mol of formula units. As for the total magnetic moment: 0.00 μB per formula unit.

***

Ac2PmCdTe5 | PBE | relaxed

a = 10.1245 Å, b = 10.1245 Å, c = 13.7837 Å
α = 90.00°, β = 90.00°, γ = 154.04°
Element x y z (fractional)
Ac  0.1171  0.8829  0.5000
Ac  0.1313  0.8687  0.1241
Ac  0.8687  0.1313  0.6241
Ac  0.8829  0.1171  0.0000
Pm  0.1983  0.8017  0.8251
Pm  0.8017  0.1983  0.3251
Cd  0.4426  0.5574  0.2691
Cd  0.5574  0.4426  0.7691
Te  0.0442  0.9558  0.8869
Te  0.2891  0.7109  0.4844
Te  0.3096  0.6904  0.1614
Te  0.3583  0.6417  0.8155
Te  0.4964  0.5036  0.5868
Te  0.5036  0.4964  0.0868
Te  0.6417  0.3583  0.3155
Te  0.6904  0.3096  0.6614
Te  0.7109  0.2891  0.9844
Te  0.9558  0.0442  0.3869

The value obtained for the formation energy from raw total energies is -1.28 eV per atom. As for the total magnetic moment: 0.00 μB per formula unit.